Compound: BaSr2Cu
Source: the Alexandria database
Functional: PBEsol
Structure: optimized geometry

The structure belongs to space group P4mm (No. 99); the cell edges are 3.906, 3.906 and 10.214 Å and the angles 90.00°, 90.00° and 90.00°. The distinct sites, in fractional coordinates, are Ba at (0.000, 0.000, 0.000), Sr at (0.000, 0.000, 0.351), Sr at (0.500, 0.500, 0.667) and Cu at (0.500, 0.500, 0.186).

As for the formation energy: 0.06 eV/atom.

Compound: Al2AgSb
Source: the Alexandria database
Functional: PBEsol
Structure: optimized geometry

The structure belongs to space group I-42d (No. 122); the cell edges are 7.548, 7.548 and 5.732 Å and the angles 90.00°, 90.00° and 90.00°. The distinct sites, in fractional coordinates, are Al at (0.237, 0.750, 0.125), Ag at (0.000, 0.000, 0.000) and Sb at (0.000, 0.000, 0.500).

The uncorrected formation energy comes out at 0.183 eV/atom.

Compound: CsIO2
Source: the Alexandria database
Functional: PBEsol
Structure: optimized geometry

The structure belongs to space group R-3m (No. 166, hexagonal axes); the cell edges are 3.9549, 3.9549 and 16.6186 Å and the angles 90.00°, 90.00° and 120.00°. The distinct sites, in fractional coordinates, are Cs at (0.0000, 0.0000, 0.0000), I at (0.0000, 0.0000, 0.5000) and O at (0.0000, 0.0000, 0.1972).

The uncorrected formation energy comes out at -0.516 eV/atom.

V (computed, A^3/atom): 38.97, 20.41, 18.76